Here is an optimized crystal structure of K2CaInSn2 from the Alexandria database. Energies are from GGA-PBE.

Unit cell a=4.9234 b=8.1049 c=10.2041 alpha=90.00 beta=90.00 gamma=90.00
Fractional coordinates of all 12 atoms:
K (0.5000, 0.0283, 0.0761)
K (0.0000, 0.3357, 0.1658)
K (0.5000, 0.5283, 0.9239)
K (0.0000, 0.8357, 0.8342)
Ca (0.0000, 0.9961, 0.4579)
Ca (0.0000, 0.4961, 0.5421)
In (0.5000, 0.1489, 0.6698)
In (0.5000, 0.6489, 0.3302)
Sn (0.0000, 0.2603, 0.8095)
Sn (0.5000, 0.2763, 0.3960)
Sn (0.0000, 0.7603, 0.1905)
Sn (0.5000, 0.7763, 0.6040)

## Properties
The formation energy is -28 kJ per mole of atoms. The calculation puts the volume at 407.18 Å³ per cell. Its crystal system is orthorhombic. The density of states at the Fermi level comes out at 5.37 states/eV/f.u. The calculation puts the calculated density at 3.84 Mg/m³.